i.
A relaxed Cs3Hg3Pt crystal. Source: Alexandria, functional PBE.

```
Cs3Hg3Pt
1.0
7.6870 0.0000 0.0000
-2.5623 7.0298 0.0000
-2.5623 -3.5149 6.0880
Hg Cs Pt
3 3 1
Direct
0.4193 0.2952 0.0000 Hg
0.1241 0.7048 0.7048 Hg
0.4193 0.0000 0.2952 Hg
0.9480 0.3922 0.0000 Cs
0.5559 0.6078 0.6078 Cs
0.9480 0.0000 0.3922 Cs
0.5604 0.0000 0.0000 Pt
```

Crystal system: trigonal
V (Å³ per cell): 329
Symmetry: R3m

ii.
A relaxed Cs3Hg3Pt crystal. Source: Alexandria, functional PBE.

```
Cs3Hg3Pt
1.0
7.7068 0.0000 0.0000
-3.8534 11.3263 0.0000
0.0000 0.0000 15.3943
Cs Hg Pt
12 12 4
Direct
0.2913 0.0000 0.1406 Cs
0.1323 0.6683 0.8621 Cs
0.4640 0.3317 0.8621 Cs
0.7913 0.0000 0.3594 Cs
0.7087 0.0000 0.8594 Cs
0.6323 0.6683 0.6379 Cs
0.8677 0.3317 0.1379 Cs
0.5360 0.6683 0.1379 Cs
0.3677 0.3317 0.3621 Cs
0.2087 0.0000 0.6406 Cs
0.9640 0.3317 0.6379 Cs
0.0360 0.6683 0.3621 Cs
0.0296 0.6763 0.1039 Hg
0.9704 0.3237 0.8961 Hg
0.6904 0.0000 0.5976 Hg
0.6467 0.6763 0.8961 Hg
0.3533 0.3237 0.1039 Hg
0.1467 0.6763 0.6039 Hg
0.5296 0.6763 0.3961 Hg
0.1904 0.0000 0.9024 Hg
0.3096 0.0000 0.4024 Hg
0.4704 0.3237 0.6039 Hg
0.8533 0.3237 0.3961 Hg
0.8096 0.0000 0.0976 Hg
0.4130 0.8260 0.5000 Pt
0.9130 0.8260 0.0000 Pt
0.0870 0.1740 0.0000 Pt
0.5870 0.1740 0.5000 Pt
```

Crystal system: orthorhombic
V (Å³ per cell): 1344
Symmetry: Cmce

Ranking the structures above by stability puts ii first and i last.